# K6OsCl12 PBE-GGA optimized geometry
# Raw total energy (eV/atom): -3.396
# SG: R-3 (148)
# Mass density (g/cm3): 2.0
# Total magnetic moment (μB per formula unit): 1.9
data_K6OsCl12
_cell_length_a 8.983
_cell_length_b 8.983
_cell_length_c 8.983
_cell_angle_alpha 86.26
_cell_angle_beta 86.26
_cell_angle_gamma 86.26
_space_group_name_H-M_alt 'P 1'
_space_group_IT_number 1
loop_
_space_group_symop_operation_xyz
'x,y,z'
loop_
_atom_site_label
_atom_site_type_symbol
_atom_site_fract_x
_atom_site_fract_y
_atom_site_fract_z
Cl1 Cl 0.838 0.825 0.098
Cl2 Cl 0.260 0.998 0.502
Cl3 Cl 0.002 0.498 0.740
Cl4 Cl 0.175 0.902 0.162
Cl5 Cl 0.502 0.260 0.998
Cl6 Cl 0.162 0.175 0.902
Cl7 Cl 0.998 0.502 0.260
Cl8 Cl 0.902 0.162 0.175
Cl9 Cl 0.825 0.098 0.838
Cl10 Cl 0.498 0.740 0.002
Cl11 Cl 0.098 0.838 0.825
Cl12 Cl 0.740 0.002 0.498
K1 K 0.997 0.243 0.518
K2 K 0.003 0.757 0.482
K3 K 0.482 0.003 0.757
K4 K 0.518 0.997 0.243
K5 K 0.243 0.518 0.997
K6 K 0.757 0.482 0.003
Os1 Os 0.000 0.000 0.000